MnSeN2F PBE+U optimized geometry; size of the total moment = 3.1 μB per cell; space group = P4/mmm (123); energy above the most stable polymorph in this dataset = 0.0 meV/atom; crystal system = tetragonal
1.0
3.996 0.000 0.000
0.000 3.996 0.000
0.000 0.000 3.776
N Se Mn F
2 1 1 1
direct
0.000 0.500 0.000
0.500 0.000 0.000
0.500 0.500 0.500
0.000 0.000 0.000
0.000 0.000 0.500